Run w
A relaxed structure of As2PtSBr. Source: Alexandria via LeMat-Bulk, functional PBE.

Computed properties:
size of the total moment: 0.0 μB/f.u.

Cell: 4.877 4.877 4.654 Å, 90.00 90.00 90.00°
Fractional coordinates of all 5 atoms:
As 0.000 0.500 0.000
As 0.500 0.000 0.000
Pt 0.500 0.500 0.500
S 0.000 0.000 0.000
Br 0.000 0.000 0.500

Run x
A relaxed structure of As2PtSBr. Source: Alexandria via LeMat-Bulk, functional PBE.

Computed properties:
size of the total moment: 0.0 μB/f.u.

Cell: 4.916 4.916 5.055 Å, 90.00 90.00 90.00°
Fractional coordinates of all 5 atoms:
Br 0.000 0.000 0.500
As 0.000 0.500 0.000
As 0.500 0.000 0.000
S 0.500 0.500 0.500
Pt 0.000 0.000 0.000

Verdict on stability: run w comes out at the bottom.

Run w
A relaxed structure of As2PtSeBr. Source: Alexandria via LeMat-Bulk, functional PBE.

Computed properties:
size of the total moment: 0.0 μB/f.u.

Cell: 5.090 5.090 4.892 Å, 90.00 90.00 90.00°
Fractional coordinates of all 5 atoms:
As 0.000 0.500 0.000
As 0.500 0.000 0.000
Pt 0.500 0.500 0.500
Se 0.000 0.000 0.000
Br 0.000 0.000 0.500

Run x
A relaxed structure of As2PtSeBr. Source: Alexandria via LeMat-Bulk, functional PBE.

Computed properties:
size of the total moment: 0.0 μB/f.u.

Cell: 4.937 4.937 5.061 Å, 90.00 90.00 90.00°
Fractional coordinates of all 5 atoms:
Br 0.000 0.000 0.500
Pt 0.000 0.000 0.000
As 0.500 0.000 0.000
As 0.000 0.500 0.000
Se 0.500 0.500 0.500

Run y
A relaxed structure of As2PtSeBr. Source: Alexandria via LeMat-Bulk, functional PBE.

Computed properties:
size of the total moment: 0.0 μB/f.u.

Cell: 5.058 5.058 4.881 Å, 90.00 90.00 90.00°
Fractional coordinates of all 5 atoms:
As 0.000 0.500 0.000
As 0.500 0.000 0.000
Se 0.000 0.000 0.500
Br 0.000 0.000 0.000
Pt 0.500 0.500 0.500

Verdict on stability: run y comes out at the bottom.

Run w
A relaxed structure of AsPtSe2Br. Source: Alexandria via LeMat-Bulk, functional PBE.

Computed properties:
size of the total moment: 0.0 μB/f.u.

Cell: 5.101 5.101 4.926 Å, 90.00 90.00 90.00°
Fractional coordinates of all 5 atoms:
Br 0.000 0.000 0.500
Se 0.000 0.500 0.000
Se 0.500 0.000 0.000
Pt 0.500 0.500 0.500
As 0.000 0.000 0.000

Run x
A relaxed structure of AsPtSe2Br. Source: Alexandria via LeMat-Bulk, functional PBE.

Computed properties:
size of the total moment: 0.0 μB/f.u.

Cell: 5.049 5.049 4.916 Å, 90.00 90.00 90.00°
Fractional coordinates of all 5 atoms:
Br 0.500 0.500 0.500
As 0.000 0.000 0.500
Se 0.500 0.000 0.000
Se 0.000 0.500 0.000
Pt 0.000 0.000 0.000

Verdict on stability: run w comes out at the bottom.

Run w
A relaxed structure of AsPtSe2Br. Source: Alexandria via LeMat-Bulk, functional PBE.

Computed properties:
size of the total moment: 0.0 μB/f.u.

Cell: 4.978 4.978 5.150 Å, 90.00 90.00 90.00°
Fractional coordinates of all 5 atoms:
As 0.000 0.000 0.500
Pt 0.500 0.500 0.500
Se 0.000 0.500 0.000
Se 0.500 0.000 0.000
Br 0.000 0.000 0.000

Run x
A relaxed structure of AsPtSe2Br. Source: Alexandria via LeMat-Bulk, functional PBE.

Computed properties:
size of the total moment: 0.0 μB/f.u.

Cell: 4.957 4.957 5.046 Å, 90.00 90.00 90.00°
Fractional coordinates of all 5 atoms:
Se 0.500 0.000 0.000
Se 0.000 0.500 0.000
Pt 0.000 0.000 0.000
As 0.500 0.500 0.500
Br 0.000 0.000 0.500

Verdict on stability: run w comes out at the bottom.

Run w
A relaxed structure of AsPtSeBr2. Source: Alexandria via LeMat-Bulk, functional PBE.

Computed properties:
size of the total moment: 1.0 μB/f.u.

Cell: 5.102 5.102 5.016 Å, 90.00 90.00 90.00°
Fractional coordinates of all 5 atoms:
As 0.500 0.500 0.500
Br 0.000 0.500 0.000
Br 0.500 0.000 0.000
Pt 0.000 0.000 0.000
Se 0.000 0.000 0.500

Run x
A relaxed structure of AsPtSeBr2. Source: Alexandria via LeMat-Bulk, functional PBE.

Computed properties:
size of the total moment: 0.9 μB/f.u.

Cell: 5.136 5.136 4.912 Å, 90.00 90.00 90.00°
Fractional coordinates of all 5 atoms:
Br 0.000 0.500 0.000
Br 0.500 0.000 0.000
Se 0.500 0.500 0.500
As 0.000 0.000 0.500
Pt 0.000 0.000 0.000

Run y
A relaxed structure of AsPtSeBr2. Source: Alexandria via LeMat-Bulk, functional PBE.

Computed properties:
size of the total moment: 1.0 μB/f.u.

Cell: 5.059 5.059 5.349 Å, 90.00 90.00 90.00°
Fractional coordinates of all 5 atoms:
Br 0.000 0.500 0.000
Br 0.500 0.000 0.000
As 0.000 0.000 0.000
Se 0.000 0.000 0.500
Pt 0.500 0.500 0.500

Run z
A relaxed structure of AsPtSeBr2. Source: Alexandria via LeMat-Bulk, functional PBE.

Computed properties:
size of the total moment: 0.7 μB/f.u.

Cell: 4.980 4.980 5.536 Å, 90.00 90.00 90.00°
Fractional coordinates of all 5 atoms:
Pt 0.500 0.500 0.500
As 0.000 0.000 0.500
Br 0.000 0.500 0.000
Br 0.500 0.000 0.000
Se 0.000 0.000 0.000

Verdict on stability: run z comes out at the bottom.

Run w
A relaxed structure of SrAs2PtBr. Source: Alexandria via LeMat-Bulk, functional PBE.

Computed properties:
size of the total moment: 0.0 μB/f.u.

Cell: 4.908 4.908 5.575 Å, 90.00 90.00 90.00°
Fractional coordinates of all 5 atoms:
As 0.000 0.500 0.000
As 0.500 0.000 0.000
Sr 0.500 0.500 0.500
Pt 0.000 0.000 0.000
Br 0.000 0.000 0.500

Run x
A relaxed structure of SrAs2PtBr. Source: Alexandria via LeMat-Bulk, functional PBE.

Computed properties:
size of the total moment: 1.3 μB/f.u.

Cell: 5.860 5.860 5.509 Å, 90.00 90.00 90.00°
Fractional coordinates of all 5 atoms:
Br 0.000 0.000 0.500
As 0.000 0.500 0.000
As 0.500 0.000 0.000
Pt 0.500 0.500 0.500
Sr 0.000 0.000 0.000

Verdict on stability: run x comes out at the bottom.

Run w
A relaxed structure of TaAs2PtBr. Source: Alexandria via LeMat-Bulk, functional PBE.

Computed properties:
size of the total moment: 0.0 μB/f.u.

Cell: 5.045 5.045 4.865 Å, 90.00 90.00 90.00°
Fractional coordinates of all 5 atoms:
Pt 0.500 0.500 0.500
Br 0.000 0.000 0.500
As 0.000 0.500 0.000
As 0.500 0.000 0.000
Ta 0.000 0.000 0.000

Run x
A relaxed structure of TaAs2PtBr. Source: Alexandria via LeMat-Bulk, functional PBE.

Computed properties:
size of the total moment: 1.6 μB/f.u.

Cell: 4.852 4.852 4.998 Å, 90.00 90.00 90.00°
Fractional coordinates of all 5 atoms:
Br 0.000 0.000 0.500
Pt 0.000 0.000 0.000
Ta 0.500 0.500 0.500
As 0.000 0.500 0.000
As 0.500 0.000 0.000

Verdict on stability: run x comes out at the bottom.

Run w
A relaxed structure of TiAsPtBr2. Source: Alexandria via LeMat-Bulk, functional PBE.

Computed properties:
size of the total moment: 0.5 μB/f.u.

Cell: 4.815 4.815 5.296 Å, 90.00 90.00 90.00°
Fractional coordinates of all 5 atoms:
Pt 0.500 0.500 0.500
Br 0.500 0.000 0.000
Br 0.000 0.500 0.000
Ti 0.000 0.000 0.000
As 0.000 0.000 0.500

Run x
A relaxed structure of TiAsPtBr2. Source: Alexandria via LeMat-Bulk, functional PBE.

Computed properties:
size of the total moment: 0.2 μB/f.u.

Cell: 5.102 5.102 4.936 Å, 90.00 90.00 90.00°
Fractional coordinates of all 5 atoms:
Ti 0.500 0.500 0.500
As 0.000 0.000 0.500
Br 0.000 0.500 0.000
Br 0.500 0.000 0.000
Pt 0.000 0.000 0.000

Verdict on stability: run x comes out at the bottom.

Run w
A relaxed structure of TlAs2PtBr. Source: Alexandria via LeMat-Bulk, functional PBE.

Computed properties:
size of the total moment: 0.0 μB/f.u.

Cell: 4.711 4.711 8.809 Å, 90.00 90.00 90.00°
Fractional coordinates of all 5 atoms:
Tl 0.500 0.500 0.500
Br 0.000 0.000 0.500
As 0.500 0.000 0.000
As 0.000 0.500 0.000
Pt 0.000 0.000 0.000

Run x
A relaxed structure of TlAs2PtBr. Source: Alexandria via LeMat-Bulk, functional PBE.

Computed properties:
size of the total moment: 0.0 μB/f.u.

Cell: 5.319 5.319 5.372 Å, 90.00 90.00 90.00°
Fractional coordinates of all 5 atoms:
Tl 0.000 0.000 0.000
As 0.500 0.000 0.000
As 0.000 0.500 0.000
Br 0.000 0.000 0.500
Pt 0.500 0.500 0.500

Verdict on stability: run x comes out at the bottom.

Run w
A relaxed structure of VAsPtBr2. Source: Alexandria via LeMat-Bulk, functional PBE.

Computed properties:
size of the total moment: 0.3 μB/f.u.

Cell: 5.219 5.219 4.820 Å, 90.00 90.00 90.00°
Fractional coordinates of all 5 atoms:
Br 0.500 0.000 0.000
Br 0.000 0.500 0.000
V 0.500 0.500 0.500
Pt 0.000 0.000 0.000
As 0.000 0.000 0.500

Run x
A relaxed structure of VAsPtBr2. Source: Alexandria via LeMat-Bulk, functional PBE.

Computed properties:
size of the total moment: 0.0 μB/f.u.

Cell: 4.688 4.688 5.149 Å, 90.00 90.00 90.00°
Fractional coordinates of all 5 atoms:
Br 0.000 0.500 0.000
Br 0.500 0.000 0.000
As 0.000 0.000 0.500
V 0.000 0.000 0.000
Pt 0.500 0.500 0.500

Verdict on stability: run w comes out at the bottom.

Run w
A relaxed structure of AsPtWBr2. Source: Alexandria via LeMat-Bulk, functional PBE.

Computed properties:
size of the total moment: 0.0 μB/f.u.

Cell: 4.885 4.885 5.081 Å, 90.00 90.00 90.00°
Fractional coordinates of all 5 atoms:
Br 0.000 0.500 0.000
Br 0.500 0.000 0.000
Pt 0.500 0.500 0.500
W 0.000 0.000 0.000
As 0.000 0.000 0.500

Run x
A relaxed structure of AsPtWBr2. Source: Alexandria via LeMat-Bulk, functional PBE.

Computed properties:
size of the total moment: 3.6 μB/f.u.

Cell: 5.078 5.078 4.966 Å, 90.00 90.00 90.00°
Fractional coordinates of all 5 atoms:
W 0.500 0.500 0.500
Br 0.500 0.000 0.000
Br 0.000 0.500 0.000
Pt 0.000 0.000 0.000
As 0.000 0.000 0.500

Verdict on stability: run x comes out at the bottom.

Run w
A relaxed structure of ZnAsPtBr2. Source: Alexandria via LeMat-Bulk, functional PBE.

Computed properties:
size of the total moment: 0.6 μB/f.u.

Cell: 4.940 4.940 5.037 Å, 90.00 90.00 90.00°
Fractional coordinates of all 5 atoms:
As 0.000 0.000 0.500
Pt 0.500 0.500 0.500
Br 0.000 0.500 0.000
Br 0.500 0.000 0.000
Zn 0.000 0.000 0.000

Run x
A relaxed structure of ZnAsPtBr2. Source: Alexandria via LeMat-Bulk, functional PBE.

Computed properties:
size of the total moment: 0.0 μB/f.u.

Cell: 5.363 5.363 4.749 Å, 90.00 90.00 90.00°
Fractional coordinates of all 5 atoms:
As 0.000 0.000 0.500
Br 0.000 0.500 0.000
Br 0.500 0.000 0.000
Pt 0.000 0.000 0.000
Zn 0.500 0.500 0.500

Verdict on stability: run w comes out at the bottom.